[1]
PBE ZrNbH2, relaxed; space-group type = R-3m, No. 166; relative energy among the computed polymorphs = 90 meV per atom; DOS(E_F) = 2.66 states/eV/f.u.
1.0
-1.108 -1.271 2.622
0.182 -3.081 0.436
4.402 -0.849 3.302
H Zr Nb
2 1 1
Direct
0.261 0.261 0.217
0.739 0.739 0.783
0.500 0.500 0.500
0.000 0.000 0.000


[2]
PBE Zr3NbH, relaxed; space-group type = Pm-3m, No. 221; relative energy among the computed polymorphs = 0 meV per atom; DOS(E_F) = 6.84 states/eV/f.u.
1.0
4.471 0.000 0.000
0.000 4.471 0.000
0.000 0.000 4.471
H Zr Nb
1 3 1
Direct
0.000 0.000 0.000
0.000 0.000 0.500
0.000 0.500 0.000
0.500 0.000 0.000
0.500 0.500 0.500


[3]
PBE Zr2NbH, relaxed; space-group type = P4/mmm, No. 123; relative energy among the computed polymorphs = 39 meV per atom; DOS(E_F) = 3.98 states/eV/f.u.
1.0
-0.271 -1.027 -2.735
2.439 -1.591 0.356
-4.201 -5.855 2.613
H Zr Nb
1 2 1
Direct
0.500 0.500 0.000
0.000 0.000 0.192
0.000 0.000 0.808
0.500 0.500 0.500


[4]
PBE Zr3NbH, relaxed; space-group type = Pm-3m, No. 221; relative energy among the computed polymorphs = 1507 meV per atom; DOS(E_F) = 8.18 states/eV/f.u.
1.0
5.131 0.000 0.000
0.000 5.131 0.000
0.000 0.000 5.131
Nb Zr H
1 3 1
Direct
0.000 0.000 0.000
0.500 0.000 0.000
0.000 0.500 0.000
0.000 0.000 0.500
0.500 0.500 0.500


[5]
PBE Nd2H5, relaxed; space-group type = Ibam, No. 72; relative energy among the computed polymorphs = 27 meV per atom; DOS(E_F) = 2.20 states/eV/f.u.
1.0
4.563 0.000 -1.937
-1.027 5.079 -2.418
0.194 0.058 6.801
H Nd
10 4
Direct
0.006 0.256 0.513
0.917 0.755 0.834
0.506 0.256 0.513
0.750 0.500 0.000
0.994 0.744 0.487
0.417 0.079 0.834
0.494 0.744 0.487
0.083 0.245 0.166
0.583 0.921 0.166
0.250 0.500 0.000
0.621 0.358 0.241
0.121 0.883 0.241
0.379 0.642 0.759
0.879 0.117 0.759


[6]
PBE Nd8H, relaxed; space-group type = P-3m1, No. 164; DOS(E_F) = 13.82 states/eV/f.u.
1.0
-1.938 -2.599 -6.723
4.244 -4.151 4.524
-4.881 -2.433 2.347
Nd H
8 1
Direct
0.498 0.002 0.999
0.664 0.332 0.501
0.168 0.332 0.501
0.168 0.836 0.501
0.667 0.833 0.481
0.498 0.497 0.999
0.003 0.002 0.999
0.000 0.500 0.019
0.333 0.167 0.250


[7]
PBE NdH3, relaxed; space-group type = P-3c1, No. 165; DOS(E_F) = 0.04 states/eV/f.u.
1.0
6.640 0.000 0.000
-3.320 5.750 0.000
0.000 0.000 6.878
H Nd
18 6
Direct
0.000 0.000 0.750
0.678 0.653 0.094
0.347 0.025 0.094
0.678 0.025 0.594
0.975 0.322 0.094
0.667 0.333 0.820
0.333 0.667 0.180
0.322 0.975 0.406
0.667 0.333 0.320
0.653 0.678 0.406
0.333 0.667 0.680
0.347 0.322 0.594
0.025 0.347 0.406
0.000 0.000 0.250
0.025 0.678 0.906
0.653 0.975 0.906
0.322 0.347 0.906
0.975 0.653 0.594
0.336 0.336 0.250
0.000 0.664 0.250
0.336 0.000 0.750
0.000 0.336 0.750
0.664 0.000 0.250
0.664 0.664 0.750


[8]
PBE Nd3H, relaxed; space-group type = Imm2, No. 44; DOS(E_F) = 4.84 states/eV/f.u.
1.0
-0.252 2.607 -2.245
-5.370 1.449 2.284
5.075 1.078 3.333
Nd H
3 1
Direct
0.321 0.706 0.642
0.500 0.355 0.000
0.679 0.064 0.358
0.000 0.042 0.000


[9]
PBE Nd2H5, relaxed; space-group type = I4_1/amd, No. 141; relative energy among the computed polymorphs = 0 meV per atom; DOS(E_F) = 1.14 states/eV/f.u.
1.0
6.687 0.001 0.000
2.330 6.268 0.000
-4.508 -3.134 3.817
Nd H
4 10
Direct
0.253 0.253 0.000
0.497 0.997 0.500
0.747 0.747 0.000
0.003 0.503 0.500
0.375 0.894 0.019
0.644 0.125 0.019
0.106 0.625 0.981
0.875 0.356 0.981
0.375 0.356 0.481
0.250 0.750 0.500
0.500 0.500 0.000
0.644 0.625 0.519
0.875 0.894 0.519
0.106 0.125 0.481


[10]
PBE NdH3, relaxed; space-group type = I4/mmm, No. 139; DOS(E_F) = 0.05 states/eV/f.u.
1.0
-2.517 -0.717 2.518
-0.789 -3.123 -1.678
3.707 0.513 1.233
H Nd
3 1
Direct
0.500 0.500 0.000
0.750 0.250 0.500
0.250 0.750 0.500
0.000 0.000 0.000


[11]
PBE Nd4H, relaxed; space-group type = Pm-3m, No. 221; DOS(E_F) = 4.48 states/eV/f.u.
1.0
5.184 0.000 0.000
0.000 5.184 0.000
0.000 0.000 5.184
H Nd
1 4
Direct
0.500 0.500 0.500
0.500 0.000 0.500
0.500 0.500 0.000
0.000 0.000 0.000
0.000 0.500 0.500


Number 1: E -26.2 eV per cell. Number 2: E -39.1 eV per cell. Number 3: E -29.7 eV per cell. Number 4: E -31.6 eV per cell. Number 5: E -60.7 eV per cell. Number 6: E -41.9 eV per cell. Number 7: E -102.7 eV per cell. Number 8: E -17.7 eV per cell. Number 9: E -61.0 eV per cell. Number 10: E -16.9 eV per cell. Number 11: E -23.3 eV per cell.